No. 1
## TbSnSe4 (PBE)

Data for crystalline TbSnSe4 at its relaxed geometry.

## Properties
- ρ: 6.1 Mg/m³
- Raw formation energy: -0.8343 eV/atom
- Raw total energy: -0.169 hartree per atom
- Total moment: 0.00 μB/f.u.

Cell: 7.2986 7.2986 6.0571 Å, 90.00 90.00 90.00°
Closest atoms and distances in Å follow each position.
Space group P4/nbm (No. 125, origin choice 2)
Asymmetric unit:
Tb 0.2500 0.2500 0.0000 [2 per cell]  8 Se 2.99
Sn 0.2500 0.7500 0.5000 [2 per cell]  4 Se 2.64
Se 0.0461 0.5461 0.2371 [8 per cell]  1 Sn 2.64

No. 2
## BaLa2MgIr (PBE)

Data for crystalline BaLa2MgIr at its relaxed geometry.

## Properties
- ρ: 5.3 Mg/m³
- Formation energy from the elements: -0.2123 eV/atom
- Raw total energy: -0.171 hartree per atom
- Total moment: 0.00 μB/f.u.
- Energy above the most stable polymorph in this dataset: 97 meV/atom

Cell: 5.5935 5.5935 6.2825 Å, 90.00 90.00 90.00°
Closest atoms and distances in Å follow each position.
Space group P4/mmm (No. 123)
Asymmetric unit:
Ba 0.0000 0.0000 0.0000 [1 per cell]  2 Ir 3.14
La 0.0000 0.5000 0.5000 [2 per cell]  2 Ir 2.80
Mg 0.5000 0.5000 0.0000 [1 per cell]  4 Ba 3.96, 8 La 4.21
Ir 0.0000 0.0000 0.5000 [1 per cell]  4 La 2.80

No. 3
## Li17Si12 (PBE)

Data for crystalline Li17Si12 at its relaxed geometry.

## Properties
- ρ: 1.7 Mg/m³
- Raw formation energy: -0.2243 eV/atom
- Raw total energy: -0.132 hartree per atom
- Total moment: 0.00 μB/f.u.

Cell: 9.5552 9.5552 9.5552 Å, 90.00 90.00 90.00°
Closest atoms and distances in Å follow each position.
Space group I-43m (No. 217)
Asymmetric unit:
Li 0.0000 0.0000 0.0000 [2 per cell]  4 Li 2.80, 12 Si 2.90
Li 0.0389 0.3539 0.6461 [24 per cell]  5 Si 2.63-2.91, 7 Li 2.81-2.89
Li 0.1691 0.1691 0.1691 [8 per cell]  6 Si 2.78, 4 Li 2.80-2.81
Si 0.0892 0.0892 0.7240 [24 per cell]  3 Si 2.41-2.52, 3 Li 2.63-2.68

No. 4
## KMn2Cl (PBE)

Data for crystalline KMn2Cl at its relaxed geometry.

## Properties
- ρ: 3.3 Mg/m³
- Raw formation energy: 0.0509 eV/atom
- Raw total energy: -0.194 hartree per atom
- Total moment: 7.98 μB/f.u.
- Energy above the most stable polymorph in this dataset: 0 meV/atom

Cell: 3.2881 3.4585 16.3329 Å, 90.00 90.00 90.00°
Closest atoms and distances in Å follow each position.
Space group Amm2 (No. 38)
Asymmetric unit:
K 0.0000 0.0000 0.0000 [2 per cell]  4 Cl 3.05, 2 K 3.29
Mn 0.0000 0.0000 0.7402 [2 per cell]  2 Cl 2.61, 4 Mn 2.77
Mn 0.5000 0.0000 0.3264 [2 per cell]  4 Mn 2.77
Cl 0.5000 0.0000 0.6163 [2 per cell]  2 Mn 2.61

No. 5
## Tm6Ni2Ag (PBE)

Data for crystalline Tm6Ni2Ag at its relaxed geometry.

## Properties
- ρ: 9.7 Mg/m³
- Formation energy from the elements: -0.3108 eV/atom
- Raw total energy: -0.180 hartree per atom
- Total moment: 0.00 μB/f.u.

Cell: 9.2083 9.3778 9.8437 Å, 90.00 90.00 90.00°
Closest atoms and distances in Å follow each position.
Space group Immm (No. 71)
Asymmetric unit:
Tm 0.0000 0.1952 0.2376 [8 per cell]  1 Ni 2.74, 1 Ag 2.97
Tm 0.1925 0.5000 0.1750 [8 per cell]  3 Ni 2.67-2.85
Tm 0.2156 0.3185 0.5000 [8 per cell]  3 Ni 2.88-3.05, 1 Ag 3.12
Ni 0.0000 0.3483 0.0000 [4 per cell]  8 Tm 2.74-3.05, 1 Ni 2.85
Ni 0.0000 0.5000 0.3785 [4 per cell]  1 Ni 2.39, 2 Tm 2.67
Ag 0.0000 0.0000 0.0000 [2 per cell]  8 Tm 2.97-3.12, 2 Ni 3.27
Ag 0.0000 0.0000 0.5000 [2 per cell]  8 Tm 3.17-3.31

No. 6
## CaHo7Hg4 (PBE)

Data for crystalline CaHo7Hg4 at its relaxed geometry.

## Properties
- ρ: 9.8 Mg/m³
- Formation energy from the elements: -0.0710 eV/atom
- Raw total energy: -0.111 hartree per atom
- Total moment: 0.00 μB/f.u.

Cell: 14.5834 5.6696 9.7628 Å, 90.00 122.59 90.00°
Closest atoms and distances in Å follow each position.
Space group C2/m (No. 12)
Asymmetric unit:
Ca 0.0000 0.0000 0.0000 [2 per cell]  2 Ho 2.83
Ho 0.0000 0.5000 0.0000 [2 per cell]  2 Ca 2.83, 4 Hg 2.94-3.08
Ho 0.0677 0.0000 0.4104 [4 per cell]  3 Hg 3.06-3.20, 1 Ho 3.27
Ho 0.2118 0.0000 0.8835 [4 per cell]  4 Hg 3.20-3.51, 5 Ho 3.42-3.55
Ho 0.2298 0.5000 0.6806 [4 per cell]  4 Hg 2.94-3.13
Hg 0.0475 0.5000 0.7288 [4 per cell]  4 Ho 2.94-3.20, 1 Hg 3.12
Hg 0.1872 0.5000 0.3377 [4 per cell]  6 Ho 2.94-3.20, 1 Hg 3.12

No. 7
## Tm12GaFe6 (PBE)

Data for crystalline Tm12GaFe6 at its relaxed geometry.

## Properties
- ρ: 9.4 Mg/m³
- Formation energy from the elements: -0.1076 eV/atom
- Raw total energy: -0.212 hartree per atom
- Total moment: 6.56 μB/f.u.

Cell: 9.4939 9.4939 9.4939 Å, 90.00 90.00 90.00°
Closest atoms and distances in Å follow each position.
Space group Im-3 (No. 204)
Asymmetric unit:
Tm 0.0000 0.2953 0.1936 [24 per cell]  3 Fe 2.68-2.88
Ga 0.0000 0.0000 0.0000 [2 per cell]  12 Tm 3.35
Fe 0.0000 0.1119 0.5000 [12 per cell]  1 Fe 2.13

No. 8
## LiCa4Mg (PBE)

Data for crystalline LiCa4Mg at its relaxed geometry.

## Properties
- ρ: 1.5 Mg/m³
- Formation energy from the elements: -0.0174 eV/atom
- Raw total energy: -0.071 hartree per atom
- Total moment: 0.00 μB/f.u.
- Energy above the most stable polymorph in this dataset: 0 meV/atom

Cell: 3.9598 3.9598 13.3515 Å, 90.00 90.00 90.00°
Closest atoms and distances in Å follow each position.
Space group P4/mmm (No. 123)
Asymmetric unit:
Li 0.0000 0.0000 0.0000 [1 per cell]  8 Ca 3.42
Ca 0.0000 0.0000 0.3513 [2 per cell]  4 Mg 3.43
Ca 0.5000 0.5000 0.1470 [2 per cell]  4 Li 3.42
Mg 0.5000 0.5000 0.5000 [1 per cell]  8 Ca 3.43

No. 9
## Y2TeAs (PBE)

Data for crystalline Y2TeAs at its relaxed geometry.

## Properties
- ρ: 6.1 Mg/m³
- Raw formation energy: -1.1550 eV/atom
- Raw total energy: -0.233 hartree per atom
- Total moment: 0.00 μB/f.u.
- Energy above the most stable polymorph in this dataset: 361 meV/atom

Cell: 3.7250 3.7924 7.4383 Å, 90.00 99.80 90.00°
Closest atoms and distances in Å follow each position.
Space group P2/m (No. 10)
Asymmetric unit:
Y 0.0780 0.0000 0.2687 [2 per cell]  2 As 2.85
Te 0.5000 0.5000 0.0000 [1 per cell]  8 Y 3.28-3.34
As 0.5000 0.5000 0.5000 [1 per cell]  4 Y 2.85

No. 10
## NdEr2Tm3 (PBE)

Data for crystalline NdEr2Tm3 at its relaxed geometry.

## Properties
- ρ: 8.8 Mg/m³
- Formation energy from the elements: 0.0252 eV/atom
- Raw total energy: -0.166 hartree per atom
- Total moment: 0.00 μB/f.u.
- Energy above the most stable polymorph in this dataset: 0 meV/atom

Cell: 17.2707 7.0597 6.0971 Å, 90.00 90.29 90.00°
Closest atoms and distances in Å follow each position.
Space group C2/c (No. 15)
Asymmetric unit:
Nd 0.0000 0.1256 0.2500 [4 per cell]  8 Tm 3.52-3.56, 2 Nd 3.53, 2 Er 3.53
Er 0.1675 0.3755 0.4178 [8 per cell]  8 Tm 3.49-3.54, 3 Er 3.50-3.52, 1 Nd 3.53
Tm 0.0000 0.3765 0.7500 [4 per cell]  4 Tm 3.51-3.55, 4 Nd 3.52-3.54, 4 Er 3.53-3.54
Tm 0.1683 0.1255 0.9156 [8 per cell]  4 Tm 3.48-3.55, 6 Er 3.49-3.54, 2 Nd 3.55-3.56

No. 11
## NbGa3Pd12 (PBE)

Data for crystalline NbGa3Pd12 at its relaxed geometry.

## Properties
- ρ: 10.7 Mg/m³
- Formation energy from the elements: -0.4755 eV/atom
- Raw total energy: -0.205 hartree per atom
- Total moment: 0.00 μB/f.u.

Cell: 3.9401 3.9401 15.7187 Å, 90.00 90.00 90.00°
Closest atoms and distances in Å follow each position.
Space group P4/mmm (No. 123)
Asymmetric unit:
Nb 0.0000 0.0000 0.0000 [1 per cell]  12 Pd 2.77-2.79
Ga 0.0000 0.0000 0.2571 [2 per cell]  12 Pd 2.71-2.87
Ga 0.0000 0.0000 0.5000 [1 per cell]  12 Pd 2.78-2.79
Pd 0.0000 0.5000 0.1242 [4 per cell]  2 Nb 2.77, 8 Pd 2.77-2.79, 2 Ga 2.87
Pd 0.0000 0.5000 0.3755 [4 per cell]  4 Ga 2.71-2.78, 8 Pd 2.78-2.79
Pd 0.5000 0.5000 0.0000 [1 per cell]  8 Pd 2.77, 4 Nb 2.79
Pd 0.5000 0.5000 0.2497 [2 per cell]  8 Pd 2.79, 4 Ga 2.79
Pd 0.5000 0.5000 0.5000 [1 per cell]  8 Pd 2.78, 4 Ga 2.79

No. 12
## PmDyNiRh (PBE)

Data for crystalline PmDyNiRh at its relaxed geometry.

## Properties
- ρ: 9.1 Mg/m³
- Formation energy from the elements: -0.5975 eV/atom
- Raw total energy: -0.229 hartree per atom
- Total moment: 0.00 μB/f.u.
- Energy above the most stable polymorph in this dataset: 0 meV/atom

Cell: 4.1274 3.8730 10.7496 Å, 90.00 90.00 90.00°
Closest atoms and distances in Å follow each position.
Space group Amm2 (No. 38)
Asymmetric unit:
Pm 0.0000 0.0000 0.0000 [2 per cell]  4 Ni 2.92, 3 Rh 2.98-3.08
Dy 0.5000 0.0000 0.7189 [2 per cell]  4 Rh 2.90, 3 Ni 3.01-3.07
Ni 0.5000 0.0000 0.4338 [2 per cell]  2 Rh 2.67, 4 Pm 2.92
Rh 0.0000 0.0000 0.2768 [2 per cell]  2 Ni 2.67, 4 Dy 2.90, 1 Pm 2.98

No. 13
## Np2Pd8Pt (PBE)

Data for crystalline Np2Pd8Pt at its relaxed geometry.

## Properties
- ρ: 12.7 Mg/m³
- Formation energy from the elements: -0.2079 eV/atom
- Raw total energy: -0.253 hartree per atom
- Total moment: 6.46 μB/f.u.

Cell: 4.2060 4.2060 11.2384 Å, 90.00 90.00 90.00°
Closest atoms and distances in Å follow each position.
Space group P4/mmm (No. 123)
Asymmetric unit:
Np 0.0000 0.0000 0.1842 [2 per cell]  12 Pd 2.83-2.98
Pd 0.0000 0.5000 0.0000 [2 per cell]  8 Pd 2.89-2.97, 4 Np 2.95
Pd 0.0000 0.5000 0.3523 [4 per cell]  2 Pt 2.68, 2 Np 2.83, 6 Pd 2.89-2.97
Pd 0.5000 0.5000 0.1764 [2 per cell]  8 Pd 2.89, 4 Np 2.98
Pt 0.0000 0.0000 0.5000 [1 per cell]  8 Pd 2.68

No. 14
## CaMgInCu (PBE)

Data for crystalline CaMgInCu at its relaxed geometry.

## Properties
- ρ: 4.5 Mg/m³
- Formation energy from the elements: -0.1457 eV/atom
- Raw total energy: -0.101 hartree per atom
- Total moment: 0.00 μB/f.u.

Cell: 7.0774 7.0774 7.0774 Å, 90.00 90.00 90.00°
Closest atoms and distances in Å follow each position.
Space group F-43m (No. 216)
Asymmetric unit:
Ca 0.0000 0.0000 0.0000 [4 per cell]  4 In 3.06, 4 Cu 3.06
Mg 0.0000 0.0000 0.5000 [4 per cell]  4 Cu 3.06, 4 In 3.06
In 0.2500 0.2500 0.2500 [4 per cell]  4 Mg 3.06, 4 Ca 3.06
Cu 0.2500 0.2500 0.7500 [4 per cell]  4 Mg 3.06, 4 Ca 3.06

No. 15
## Li4CaCd2Ag (PBE)

Data for crystalline Li4CaCd2Ag at its relaxed geometry.

## Properties
- ρ: 4.2 Mg/m³
- Formation energy from the elements: -0.1847 eV/atom
- Raw total energy: -0.073 hartree per atom
- Total moment: 0.00 μB/f.u.

Cell: 4.7835 4.7835 24.2293 Å, 90.00 90.00 120.00°
Closest atoms and distances in Å follow each position.
Space group R-3m (No. 166, hexagonal axes)
Asymmetric unit:
Li 0.0000 0.0000 0.1086 [6 per cell]  1 Ag 2.63, 3 Cd 2.83
Li 0.0000 0.0000 0.3644 [6 per cell]  4 Cd 2.79-3.04, 3 Ag 2.86
Ca 0.0000 0.0000 0.5000 [3 per cell]  8 Li 3.10-3.28, 6 Cd 3.41
Cd 0.0000 0.0000 0.2494 [6 per cell]  7 Li 2.79-3.04
Ag 0.0000 0.0000 0.0000 [3 per cell]  8 Li 2.63-2.86

No. 16
## P2C (PBE)

Data for crystalline P2C at its relaxed geometry.

## Properties
- ρ: 2.7 Mg/m³
- Formation energy from the elements: 0.4528 eV/atom
- Raw total energy: -0.229 hartree per atom
- Total moment: 0.00 μB/f.u.
- Energy above the most stable polymorph in this dataset: 22 meV/atom

Cell: 2.8402 2.8478 6.5428 Å, 90.17 100.67 119.80°
Closest atoms and distances in Å follow each position.
Space group P1 (No. 1)
Asymmetric unit:
P 0.0000 0.0000 0.0000 [1 per cell]  3 C 1.86-1.87
P 0.0889 0.5416 0.5731 [1 per cell]  1 C 1.85
C 0.2552 0.6268 0.8627 [1 per cell]  4 P 1.85-1.87

No. 17
## Nd2Al5Pd2Rh (PBE)

Data for crystalline Nd2Al5Pd2Rh at its relaxed geometry.

## Properties
- ρ: 6.5 Mg/m³
- Formation energy from the elements: -0.6328 eV/atom
- Raw total energy: -0.192 hartree per atom
- Total moment: 0.00 μB/f.u.

Cell: 10.3660 10.3660 3.5150 Å, 90.00 90.00 90.00°
Closest atoms and distances in Å follow each position.
Space group P4/mbm (No. 127)
Asymmetric unit:
Nd 0.1849 0.3151 0.0000 [4 per cell]  1 Pd 2.87
Al 0.0000 0.5000 0.5000 [2 per cell]  4 Pd 2.48
Al 0.0461 0.8120 0.5000 [8 per cell]  2 Rh 2.67, 2 Pd 2.77, 2 Al 2.84
Pd 0.1195 0.6195 0.0000 [4 per cell]  6 Al 2.48-2.77
Rh 0.0000 0.0000 0.0000 [2 per cell]  8 Al 2.67

No. 18
## Tl12In3Ga (PBE)

Data for crystalline Tl12In3Ga at its relaxed geometry.

## Properties
- ρ: 10.1 Mg/m³
- Formation energy from the elements: 0.0635 eV/atom
- Raw total energy: -0.089 hartree per atom
- Total moment: 0.00 μB/f.u.

Cell: 4.7143 4.7143 21.1176 Å, 90.00 90.00 90.00°
Closest atoms and distances in Å follow each position.
Space group P4/mmm (No. 123)
Asymmetric unit:
Tl 0.0000 0.0000 0.0000 [1 per cell]  4 Ga 3.33, 8 Tl 3.47
Tl 0.0000 0.0000 0.2473 [2 per cell]  4 In 3.33, 8 Tl 3.56
Tl 0.0000 0.0000 0.5000 [1 per cell]  4 In 3.33, 8 Tl 3.56
Tl 0.0000 0.5000 0.1208 [4 per cell]  8 Tl 3.33-3.56, 2 Ga 3.47, 2 In 3.55
Tl 0.0000 0.5000 0.3734 [4 per cell]  8 Tl 3.33-3.56, 4 In 3.56-3.57
In 0.5000 0.5000 0.2464 [2 per cell]  12 Tl 3.33-3.57
In 0.5000 0.5000 0.5000 [1 per cell]  12 Tl 3.33-3.56
Ga 0.5000 0.5000 0.0000 [1 per cell]  12 Tl 3.33-3.47

No. 19
## K2Li2TiO4 (PBE)

Data for crystalline K2Li2TiO4 at its relaxed geometry.

## Properties
- ρ: 3.1 Mg/m³
- Raw formation energy: -2.1072 eV/atom
- Raw total energy: -0.215 hartree per atom
- Total moment: 0.00 μB/f.u.
- Energy above the most stable polymorph in this dataset: 133 meV/atom

Cell: 11.8220 3.1922 6.2129 Å, 90.00 109.86 90.00°
Closest atoms and distances in Å follow each position.
Space group C2/m (No. 12)
Asymmetric unit:
K 0.1381 0.0000 0.0541 [4 per cell]  7 O 2.79-2.91, 3 Li 2.97-2.99, 1 K 3.10
Li 0.1774 0.5000 0.4805 [4 per cell]  4 O 1.86-2.07
Ti 0.0000 0.0000 0.5000 [2 per cell]  6 O 1.99-2.08
O 0.0133 0.5000 0.2959 [4 per cell]  1 Li 1.89, 2 Ti 2.08
O 0.1784 0.0000 0.6364 [4 per cell]  3 Li 1.86-2.07, 1 Ti 1.99

No. 20
## TiFePt2 (PBE)

Data for crystalline TiFePt2 at its relaxed geometry.

## Properties
- ρ: 12.7 Mg/m³
- Formation energy from the elements: -0.1636 eV/atom
- Raw total energy: -0.267 hartree per atom
- Total moment: 2.07 μB/f.u.

Cell: 3.8526 3.8526 17.4522 Å, 90.00 90.00 90.00°
Closest atoms and distances in Å follow each position.
Space group I-42d (No. 122)
Asymmetric unit:
Ti 0.0000 0.0000 0.0000 [4 per cell]  4 Pt 2.58, 4 Fe 2.72
Fe 0.0000 0.0000 0.5000 [4 per cell]  4 Pt 2.56, 4 Ti 2.72
Pt 0.2436 0.2500 0.6250 [8 per cell]  2 Fe 2.56, 2 Ti 2.58, 4 Pt 2.69-2.76

No. 21
## KEu2Pb (PBE)

Data for crystalline KEu2Pb at its relaxed geometry.

## Properties
- ρ: 6.2 Mg/m³
- Formation energy from the elements: -0.1353 eV/atom
- Raw total energy: -0.238 hartree per atom
- Total moment: 15.04 μB/f.u.
- Energy above the most stable polymorph in this dataset: 67 meV/atom

Cell: 5.4689 5.4689 4.9448 Å, 90.00 90.00 90.00°
Closest atoms and distances in Å follow each position.
Space group P4/mmm (No. 123)
Asymmetric unit:
K 0.0000 0.0000 0.0000 [1 per cell]  8 Eu 3.69, 4 Pb 3.87
Eu 0.0000 0.5000 0.5000 [2 per cell]  4 Pb 3.69, 4 K 3.69, 4 Eu 3.87
Pb 0.5000 0.5000 0.0000 [1 per cell]  8 Eu 3.69, 4 K 3.87

No. 22
## K2MgTc (PBE)

Data for crystalline K2MgTc at its relaxed geometry.

## Properties
- ρ: 2.3 Mg/m³
- Formation energy from the elements: 0.8200 eV/atom
- Raw total energy: -0.100 hartree per atom
- Total moment: 1.02 μB/f.u.

Cell: 20.8924 2.9614 4.7123 Å, 90.00 102.97 90.00°
Closest atoms and distances in Å follow each position.
Space group C2/m (No. 12)
Asymmetric unit:
K 0.1502 0.0000 0.1508 [4 per cell]  2 K 2.96
Mg 0.0000 0.0000 0.5000 [2 per cell]  4 Tc 2.78, 2 Mg 2.96
Tc 0.0000 0.5000 0.0000 [2 per cell]  4 Mg 2.78, 2 Tc 2.96